DFT (PBE-GGA) results for crystalline KSbPbI2 at its relaxed geometry.

a = 6.1944 Å, b = 6.1944 Å, c = 6.4423 Å
α = 90.00°, β = 90.00°, γ = 90.00°
Fractional positions:
K: 0.0000 0.0000 0.0000
Sb: 0.0000 0.0000 0.5000
I: 0.0000 0.5000 0.0000
Pb: 0.5000 0.5000 0.5000
I: 0.5000 0.0000 0.0000

## Properties
The energy above the most stable polymorph in this dataset comes out at 58.88 kJ per mole of atoms. Its formation energy without anion corrections is 0.275 eV per atom. As for the crystal system: tetragonal. The value obtained for the total magnetic moment is 2.0 μB per formula unit. Its density of states at the Fermi level is 0.6227 states/eV per atom.